# Cd2InHg8Pb (PBE, optimized geometry)
data_Cd2InHg8Pb
_chemical_formula_sum 'Cd2 In1 Hg8 Pb1'
_cell_length_a 6.7953
_cell_length_b 6.7953
_cell_length_c 8.4910
_cell_angle_alpha 90.00
_cell_angle_beta 90.00
_cell_angle_gamma 120.00
_symmetry_space_group_name_H-M 'P -3 m 1'
_symmetry_Int_Tables_number 164
_symmetry_space_group_name_Hall '-P 3 2"'
loop_
_atom_site_label
_atom_site_type_symbol
_atom_site_fract_x
_atom_site_fract_y
_atom_site_fract_z
_atom_site_occupancy
Cd1 Cd 0.3333 0.6667 0.4493 1
In1 In 0.0000 0.0000 0.0000 1
Hg1 Hg 0.1830 0.3661 0.7622 1
Hg2 Hg 0.3333 0.6667 0.0986 1
Pb1 Pb 0.0000 0.0000 0.5000 1
# - magnetization (Bohr magnetons per cell) = 0.00
# - energy of formation (eV per atom) = 0.08

# Cd2InHg6Pb (PBE, optimized geometry)
data_Cd2InHg6Pb
_chemical_formula_sum 'Cd2 In1 Hg6 Pb1'
_cell_length_a 6.0119
_cell_length_b 6.0319
_cell_length_c 8.2436
_cell_angle_alpha 69.84
_cell_angle_beta 68.83
_cell_angle_gamma 82.76
_symmetry_space_group_name_H-M 'P 1'
_symmetry_Int_Tables_number 1
_symmetry_space_group_name_Hall 'P 1'
loop_
_atom_site_label
_atom_site_type_symbol
_atom_site_fract_x
_atom_site_fract_y
_atom_site_fract_z
_atom_site_occupancy
Cd1 Cd 0.0000 0.0000 0.0000 1
Cd2 Cd 0.0042 0.9898 0.5149 1
In1 In 0.7827 0.5800 0.9220 1
Hg1 Hg 0.1946 0.3927 0.6121 1
Hg2 Hg 0.1977 0.3697 0.1133 1
Hg3 Hg 0.3766 0.7899 0.2123 1
Hg4 Hg 0.3822 0.7857 0.7233 1
Hg5 Hg 0.5958 0.1713 0.3199 1
Hg6 Hg 0.6023 0.1752 0.8134 1
Pb1 Pb 0.7886 0.5938 0.4051 1
# - magnetization (Bohr magnetons per cell) = 0.00
# - energy of formation (eV per atom) = 0.02

# Cd3In4Hg2Pb2 (PBE, optimized geometry)
data_Cd3In4Hg2Pb2
_chemical_formula_sum 'Cd3 In4 Hg2 Pb2'
_cell_length_a 5.1974
_cell_length_b 5.1974
_cell_length_c 13.1180
_cell_angle_alpha 90.00
_cell_angle_beta 90.00
_cell_angle_gamma 120.00
_symmetry_space_group_name_H-M 'P -3 m 1'
_symmetry_Int_Tables_number 164
_symmetry_space_group_name_Hall '-P 3 2"'
loop_
_atom_site_label
_atom_site_type_symbol
_atom_site_fract_x
_atom_site_fract_y
_atom_site_fract_z
_atom_site_occupancy
Cd1 Cd 0.0000 0.0000 0.0000 1
Cd2 Cd 0.0000 0.0000 0.2773 1
In1 In 0.3333 0.6667 0.3273 1
In2 In 0.3333 0.6667 0.8463 1
Hg1 Hg 0.3333 0.6667 0.0887 1
Pb1 Pb 0.3333 0.6667 0.5731 1
# - magnetization (Bohr magnetons per cell) = 0.00
# - energy of formation (eV per atom) = 0.07

So what do the calculations give for mass density? Going down the list: 10.522, 11.107, 8.723 Mg/m³.